6
Lattice="-2.850 -0.103 2.123 2.126 -0.135 2.846 -0.006 13.651 0.651" Properties=species:S:1:pos:R:3 comment="PmHo4Zn | the Alexandria database | GGA-PBE | relaxed" de_polymorph_kj_per_mol_atoms=0.0 ef_ev_per_atom=-0.10 pbc="T T T"
Ho -0.363 2.422 2.606
Zn -0.365 6.707 2.811
Ho -0.004 8.583 0.410
Pm 0.000 0.000 0.000
Ho -0.367 10.992 3.015
Ho -0.002 5.069 0.242


12
Lattice="3.907 0.000 0.000 0.000 7.915 0.262 -1.954 -2.304 8.259" Properties=species:S:1:pos:R:3 comment="Sc6Si2SbSe3 | the Alexandria database | GGA-PBE | relaxed" e_form_raw_ev_per_atom=-1.2114 pbc="T T T"
Sc 1.954 3.779 2.975
Sb 1.954 0.000 0.000
Se 0.000 5.848 2.930
Sc 1.954 3.557 8.335
Se 1.954 -0.236 5.592
Sc 0.000 5.588 5.651
Sc 1.954 0.023 2.871
Se 1.954 3.958 0.131
Sc 0.000 2.054 0.187
Si 1.954 3.720 5.662
Si 0.000 1.892 2.860
Sc 0.000 1.833 5.547


22
Lattice="-5.125 -3.381 4.206 1.804 -6.079 3.895 0.464 0.337 7.420" Properties=species:S:1:pos:R:3 comment="Tb2Sn2O7 | the Alexandria database | GGA-PBE | relaxed" e_form_raw_ev_per_atom=-2.5844 pbc="T T T"
O -2.512 -7.367 7.956
Tb -2.687 -2.662 7.753
Tb -1.785 -5.702 9.700
O -3.280 -3.692 9.975
O 0.689 -5.238 9.796
Tb -2.017 -5.870 5.991
Sn 0.545 -4.180 3.888
Sn -0.357 -1.140 1.940
O 0.094 -0.188 3.735
O -2.293 -1.776 2.362
O -1.428 -4.561 7.760
Tb 0.777 -4.011 7.597
O -2.095 -1.632 5.531
O -0.344 -1.755 7.565
O -1.523 -4.373 4.026
O 0.865 -2.785 5.398
O -2.142 -6.842 11.641
Sn -2.919 -2.831 4.043
O 0.666 -2.929 2.229
Sn -0.125 -0.972 5.650
O 0.423 -5.431 5.546
O -3.546 -3.885 5.724


4
Lattice="5.372 -0.008 0.004 1.854 5.042 -0.004 -2.799 -3.685 2.728" Properties=species:S:1:pos:R:3 comment="HgTeRu2 | the Alexandria database | GGA-PBE | relaxed" de_polymorph_kj_per_mol_atoms=28.9 e_form_raw_ev_per_atom=0.6707 pbc="T T T"
Hg 1.334 1.937 1.362
Te 3.093 -0.588 1.366
Ru 7.096 4.943 0.000
Ru 3.742 2.607 0.000


5
Lattice="6.005 0.000 0.000 0.000 6.005 0.000 0.000 0.000 5.059" Properties=species:S:1:pos:R:3 comment="Ba2LiInNi | the Alexandria database | GGA-PBE | relaxed" de_polymorph_kj_per_mol_atoms=0.0 ef_ev_per_atom=-0.09 pbc="T T T"
Ni 0.000 0.000 0.000
Ba 0.000 3.002 0.000
In 0.000 0.000 2.529
Li 3.002 3.002 2.529
Ba 3.002 0.000 0.000


9
Lattice="-4.521 1.252 -2.164 -1.001 -1.349 -4.819 -4.906 -7.225 -1.197" Properties=species:S:1:pos:R:3 comment="Li2Ag4Sn3 | the Alexandria database | GGA-PBE | relaxed" de_polymorph_kj_per_mol_atoms=0.0 ef_ev_per_atom=-0.15 pbc="T T T"
Li -4.725 -5.912 -5.291
Ag -3.036 -2.788 -2.993
Sn -4.887 -2.820 -5.369
Li -5.703 -1.411 -2.889
Ag -3.705 -0.087 -4.608
Ag -6.723 -7.236 -3.572
Sn 0.000 0.000 0.000
Sn -5.541 -4.503 -2.811
Ag -7.392 -4.535 -5.187


10
Lattice="-0.389 -3.241 -2.521 3.164 -4.819 5.707 -8.703 1.577 2.691" Properties=species:S:1:pos:R:3 comment="Pu4Se5S | the Alexandria database | GGA-PBE | relaxed" e_form_raw_ev_per_atom=-1.3839 pbc="T T T"
Pu -3.016 -4.326 6.028
S -0.195 -1.620 -1.260
Pu -2.913 -2.157 -0.151
Pu -6.702 -5.271 4.438
Se -1.853 -1.644 2.399
Se -4.075 -4.840 3.478
Se -5.696 -2.335 0.507
Pu 0.773 -1.213 1.440
Se 1.387 -4.030 1.593
Se -0.233 -4.149 5.370


18
Lattice="-1.514 -4.919 -1.371 4.923 1.685 -1.137 3.175 -3.403 8.702" Properties=species:S:1:pos:R:3 comment="NpTlCuO6 | the Alexandria database | GGA-PBE | relaxed" e_form_raw_ev_per_atom=-1.4609 pbc="T T T"
O 0.649 -4.767 -0.568
O 3.959 -4.056 6.627
O 5.934 -1.869 6.762
O 6.657 -4.434 5.495
O 2.624 -2.580 -0.433
Np 5.158 -3.069 5.311
O 2.822 -5.038 1.062
Tl 0.000 0.000 0.000
O 4.249 -4.243 3.919
O 2.334 -2.393 2.275
O -0.074 -2.203 0.699
O 3.761 -1.598 5.131
Cu 3.571 -1.367 0.960
Tl 1.587 -1.702 4.351
O 0.196 -4.426 2.260
Cu 3.013 -5.270 5.233
O 6.387 -2.210 3.934
Np 1.425 -3.568 0.882